MoPRu: optimized geometry, GGA-PBE.

Final energy: -8.8245 eV per atom
Space group: Pm (6)
Density of states at the Fermi level: 0.65 states/eV per atom
ΔE to the lowest computed polymorph: 212 meV per atom

CIF file:
```
data_MoPRu
_cell_length_a 4.390
_cell_length_b 2.969
_cell_length_c 6.499
_cell_angle_alpha 90.00
_cell_angle_beta 99.45
_cell_angle_gamma 90.00
_space_group_name_H-M_alt 'P 1'
_space_group_IT_number 1
loop_
_space_group_symop_operation_xyz
'x,y,z'
loop_
_atom_site_label
_atom_site_fract_x
_atom_site_fract_y
_atom_site_fract_z
Mo1 0.497 0.000 0.363
Mo2 0.412 0.500 0.990
P1 0.607 0.500 0.660
P2 0.892 0.000 0.989
Ru1 0.970 0.500 0.272
Ru2 0.059 0.000 0.657
```